This record from Alexandria via LeMat-Bulk describes a relaxed structure of ZnSbH. The functional is PBE.

Geometry as POSCAR:
```
ZnSbH
1.0
8.410 0.000 0.000
0.000 6.698 0.000
0.000 0.000 4.559
Zn H Sb
4 4 4
direct
0.000 0.000 0.000
0.500 0.000 0.500
0.000 0.500 0.000
0.500 0.500 0.500
0.050 0.750 0.398
0.550 0.750 0.102
0.950 0.250 0.602
0.450 0.250 0.898
0.680 0.750 0.797
0.320 0.250 0.203
0.180 0.750 0.703
0.820 0.250 0.297
```

Calculated values
DFT total energy = -0.1980 Ry per atom
relative energy among the computed polymorphs = 193 meV per atom
total magnetic moment = 0.0 μB/f.u.